Here is an optimized crystal structure of RbFeO2 from the Alexandria database. Energies are from PBE+U.

a b c (Å): 6.512 6.512 5.390
angles (deg): 67.44 112.56 79.74
Sites, in units of the cell vectors:
O (0.242, 0.944, 0.656)
O (0.056, 0.758, 0.156)
O (0.944, 0.242, 0.844)
O (0.758, 0.056, 0.344)
Fe (0.984, 0.984, 0.750)
Fe (0.016, 0.016, 0.250)
Rb (0.343, 0.343, 0.750)
Rb (0.657, 0.657, 0.250)

Calculated values
Crystal system ... monoclinic
Magnetic moment ... 10.00 Bohr magnetons per cell
Symmetry ... No. 15
VASP energy ... -5.549 eV/atom